The following is a GGA-PBE calculation of a relaxed LaIn2IrOs crystal, from Alexandria.

Computed properties:
Total magnetization   0.93 μB per formula unit
DFT formation energy   2.9 eV/f.u.
Total DFT energy (no corrections)   -27.56 eV/cell

```
data_LaIn2IrOs
_chemical_formula_sum 'La1 In2 Ir1 Os1'
_space_group_name_H-M_alt 'P 4/m m m'
_space_group_IT_number 123
_space_group_name_Hall '-P 4 2'
_cell_length_a 5.1045
_cell_length_b 5.1045
_cell_length_c 5.2292
_cell_angle_alpha 90.00
_cell_angle_beta 90.00
_cell_angle_gamma 90.00
loop_
_atom_site_label
_atom_site_type_symbol
_atom_site_fract_x
_atom_site_fract_y
_atom_site_fract_z
La1 La 0.0000 0.0000 0.0000
In1 In 0.0000 0.5000 0.5000
Ir1 Ir 0.5000 0.5000 0.0000
Os1 Os 0.0000 0.0000 0.5000
```

The following is a GGA-PBE calculation of a relaxed LaInP2Ir crystal, from Alexandria.

Computed properties:
Total magnetization   1.33 μB per formula unit
DFT formation energy   5.9 eV/f.u.
Total DFT energy (no corrections)   -21.40 eV/cell

```
data_LaInP2Ir
_chemical_formula_sum 'La1 In1 P2 Ir1'
_space_group_name_H-M_alt 'P 4/m m m'
_space_group_IT_number 123
_space_group_name_Hall '-P 4 2'
_cell_length_a 4.7667
_cell_length_b 4.7667
_cell_length_c 6.3045
_cell_angle_alpha 90.00
_cell_angle_beta 90.00
_cell_angle_gamma 90.00
loop_
_atom_site_label
_atom_site_type_symbol
_atom_site_fract_x
_atom_site_fract_y
_atom_site_fract_z
La1 La 0.0000 0.0000 0.0000
In1 In 0.0000 0.0000 0.5000
P1 P 0.0000 0.5000 0.5000
Ir1 Ir 0.5000 0.5000 0.0000
```

The following is a GGA-PBE calculation of a relaxed LaIn2IrPb crystal, from Alexandria.

Computed properties:
Total magnetization   0.00 μB per formula unit
DFT formation energy   -1.8 eV/f.u.
Total DFT energy (no corrections)   -24.76 eV/cell

```
data_LaIn2IrPb
_chemical_formula_sum 'La1 In2 Ir1 Pb1'
_space_group_name_H-M_alt 'P 4/m m m'
_space_group_IT_number 123
_space_group_name_Hall '-P 4 2'
_cell_length_a 5.2164
_cell_length_b 5.2164
_cell_length_c 5.4281
_cell_angle_alpha 90.00
_cell_angle_beta 90.00
_cell_angle_gamma 90.00
loop_
_atom_site_label
_atom_site_type_symbol
_atom_site_fract_x
_atom_site_fract_y
_atom_site_fract_z
La1 La 0.0000 0.0000 0.0000
In1 In 0.0000 0.5000 0.5000
Ir1 Ir 0.0000 0.0000 0.5000
Pb1 Pb 0.5000 0.5000 0.0000
```

The following is a GGA-PBE calculation of a relaxed La3PmInIr crystal, from Alexandria.

Computed properties:
Total magnetization   0.00 μB per formula unit
DFT formation energy   -2.7 eV/f.u.
Total DFT energy (no corrections)   -135.43 eV/cell

```
data_La3PmInIr
_chemical_formula_sum 'La12 Pm4 In4 Ir4'
_space_group_name_H-M_alt 'C 1 2/m 1'
_space_group_IT_number 12
_cell_length_a 16.6911
_cell_length_b 7.6945
_cell_length_c 6.1064
_cell_angle_alpha 90.00
_cell_angle_beta 111.39
_cell_angle_gamma 90.00
loop_
_space_group_symop_operation_xyz
'x,y,z'
'-x,-y,-z'
'-x,y,-z'
'x,-y,z'
'x+1/2,y+1/2,z'
'-x+1/2,-y+1/2,-z'
'-x+1/2,y+1/2,-z'
'x+1/2,-y+1/2,z'
loop_
_atom_site_label
_atom_site_type_symbol
_atom_site_fract_x
_atom_site_fract_y
_atom_site_fract_z
La1 La 0.1212 0.2504 0.1205
La2 La 0.1801 0.0000 0.6787
Pm1 Pm 0.0000 0.3032 0.5000
In1 In 0.1934 0.5000 0.6935
Ir1 Ir 0.0000 0.0000 0.2392
```

The following is a GGA-PBE calculation of a relaxed LaPmInIr crystal, from Alexandria.

Computed properties:
Total magnetization   0.00 μB per formula unit
DFT formation energy   -1.7 eV/f.u.
Total DFT energy (no corrections)   -91.79 eV/cell

```
data_LaPmInIr
_chemical_formula_sum 'La4 Pm4 In4 Ir4'
_space_group_name_H-M_alt 'F -4 3 m'
_space_group_IT_number 216
_space_group_name_Hall 'F -4 2 3'
_cell_length_a 7.4525
_cell_length_b 7.4525
_cell_length_c 7.4525
_cell_angle_alpha 90.00
_cell_angle_beta 90.00
_cell_angle_gamma 90.00
loop_
_atom_site_label
_atom_site_type_symbol
_atom_site_fract_x
_atom_site_fract_y
_atom_site_fract_z
La1 La 0.0000 0.0000 0.0000
Pm1 Pm 0.0000 0.0000 0.5000
In1 In 0.2500 0.2500 0.7500
Ir1 Ir 0.2500 0.2500 0.2500
```

The following is a GGA-PBE calculation of a relaxed La2PrInIr crystal, from Alexandria.

Computed properties:
Total magnetization   0.00 μB per formula unit
DFT formation energy   -2.0 eV/f.u.
Total DFT energy (no corrections)   -28.26 eV/cell

```
data_La2PrInIr
_chemical_formula_sum 'La2 Pr1 In1 Ir1'
_space_group_name_H-M_alt 'P 4 m m'
_space_group_IT_number 99
_cell_length_a 5.5266
_cell_length_b 5.5266
_cell_length_c 5.7082
_cell_angle_alpha 90.00
_cell_angle_beta 90.00
_cell_angle_gamma 90.00
loop_
_space_group_symop_operation_xyz
'x,y,z'
'-y,x,z'
'-x,-y,z'
'y,-x,z'
'-x,y,z'
'y,x,z'
'x,-y,z'
'-y,-x,z'
loop_
_atom_site_label
_atom_site_type_symbol
_atom_site_fract_x
_atom_site_fract_y
_atom_site_fract_z
La1 La 0.0000 0.5000 0.0000
Pr1 Pr 0.0000 0.0000 0.5000
In1 In 0.5000 0.5000 0.5014
Ir1 Ir 0.0000 0.0000 0.0000
```

The following is a GGA-PBE calculation of a relaxed La6In2IrRh crystal, from Alexandria.

Computed properties:
Total magnetization   0.00 μB per formula unit
DFT formation energy   -5.0 eV/f.u.
Total DFT energy (no corrections)   -56.27 eV/cell

```
data_La6In2IrRh
_chemical_formula_sum 'La6 In2 Ir1 Rh1'
_space_group_name_H-M_alt 'P 1'
_space_group_IT_number 1
_cell_length_a 7.6038
_cell_length_b 7.6104
_cell_length_c 7.6106
_cell_angle_alpha 63.32
_cell_angle_beta 63.39
_cell_angle_gamma 63.38
loop_
_space_group_symop_operation_xyz
'x,y,z'
loop_
_atom_site_label
_atom_site_type_symbol
_atom_site_fract_x
_atom_site_fract_y
_atom_site_fract_z
La1 La 0.0000 0.0000 0.0000
La2 La 0.0827 0.9226 0.4978
La3 La 0.1692 0.4203 0.4180
La4 La 0.4992 0.0881 0.9136
La5 La 0.5848 0.5856 0.8350
La6 La 0.6681 0.5083 0.3330
In1 In 0.0830 0.5047 0.9156
In2 In 0.5856 0.0041 0.4179
Ir1 Ir 0.3342 0.7542 0.1663
Rh1 Rh 0.8344 0.2541 0.6664
```

The following is a GGA-PBE calculation of a relaxed LaInIrRh crystal, from Alexandria.

Computed properties:
Total magnetization   0.00 μB per formula unit
DFT formation energy   -1.8 eV/f.u.
Total DFT energy (no corrections)   -102.65 eV/cell

```
data_LaInIrRh
_chemical_formula_sum 'La4 In4 Ir4 Rh4'
_space_group_name_H-M_alt 'F -4 3 m'
_space_group_IT_number 216
_space_group_name_Hall 'F -4 2 3'
_cell_length_a 6.8574
_cell_length_b 6.8574
_cell_length_c 6.8574
_cell_angle_alpha 90.00
_cell_angle_beta 90.00
_cell_angle_gamma 90.00
loop_
_atom_site_label
_atom_site_type_symbol
_atom_site_fract_x
_atom_site_fract_y
_atom_site_fract_z
La1 La 0.0000 0.0000 0.0000
In1 In 0.0000 0.0000 0.5000
Ir1 Ir 0.2500 0.2500 0.2500
Rh1 Rh 0.2500 0.2500 0.7500
```

The following is a GGA-PBE calculation of a relaxed La2InIr2Rh5 crystal, from Alexandria.

Computed properties:
Total magnetization   0.00 μB per formula unit
DFT formation energy   -3.6 eV/f.u.
Total DFT energy (no corrections)   -141.37 eV/cell

```
data_La2InIr2Rh5
_chemical_formula_sum 'La4 In2 Ir4 Rh10'
_space_group_name_H-M_alt 'P 4/m b m'
_space_group_IT_number 127
_space_group_name_Hall '-P 4 2ab'
_cell_length_a 9.5763
_cell_length_b 9.5763
_cell_length_c 4.0983
_cell_angle_alpha 90.00
_cell_angle_beta 90.00
_cell_angle_gamma 90.00
loop_
_atom_site_label
_atom_site_type_symbol
_atom_site_fract_x
_atom_site_fract_y
_atom_site_fract_z
La1 La 0.1688 0.3312 0.0000
In1 In 0.0000 0.0000 0.0000
Ir1 Ir 0.1299 0.6299 0.0000
Rh1 Rh 0.0000 0.5000 0.5000
Rh2 Rh 0.0687 0.7943 0.5000
```

The following is a GGA-PBE calculation of a relaxed La2InSbIr crystal, from Alexandria.

Computed properties:
Total magnetization   0.00 μB per formula unit
Total DFT energy (no corrections)   -29.16 eV/cell

```
data_La2InSbIr
_chemical_formula_sum 'La2 In1 Sb1 Ir1'
_space_group_name_H-M_alt 'P 4/m m m'
_space_group_IT_number 123
_space_group_name_Hall '-P 4 2'
_cell_length_a 5.5321
_cell_length_b 5.5321
_cell_length_c 5.1180
_cell_angle_alpha 90.00
_cell_angle_beta 90.00
_cell_angle_gamma 90.00
loop_
_atom_site_label
_atom_site_type_symbol
_atom_site_fract_x
_atom_site_fract_y
_atom_site_fract_z
La1 La 0.0000 0.5000 0.0000
In1 In 0.0000 0.0000 0.5000
Sb1 Sb 0.5000 0.5000 0.5000
Ir1 Ir 0.0000 0.0000 0.0000
```

The following is a GGA-PBE calculation of a relaxed LaSc2InIr crystal, from Alexandria.

Computed properties:
Total magnetization   0.00 μB per formula unit
DFT formation energy   -1.8 eV/f.u.
Total DFT energy (no corrections)   -31.00 eV/cell

```
data_LaSc2InIr
_chemical_formula_sum 'La1 Sc2 In1 Ir1'
_space_group_name_H-M_alt 'P 4/m m m'
_space_group_IT_number 123
_space_group_name_Hall '-P 4 2'
_cell_length_a 5.1158
_cell_length_b 5.1158
_cell_length_c 5.4938
_cell_angle_alpha 90.00
_cell_angle_beta 90.00
_cell_angle_gamma 90.00
loop_
_atom_site_label
_atom_site_type_symbol
_atom_site_fract_x
_atom_site_fract_y
_atom_site_fract_z
La1 La 0.0000 0.0000 0.0000
Sc1 Sc 0.0000 0.5000 0.5000
In1 In 0.5000 0.5000 0.0000
Ir1 Ir 0.0000 0.0000 0.5000
```

The following is a GGA-PBE calculation of a relaxed La3SmInIr crystal, from Alexandria.

Computed properties:
Total magnetization   0.00 μB per formula unit
DFT formation energy   -2.8 eV/f.u.
Total DFT energy (no corrections)   -135.43 eV/cell

```
data_La3SmInIr
_chemical_formula_sum 'La12 Sm4 In4 Ir4'
_space_group_name_H-M_alt 'C 1 2/m 1'
_space_group_IT_number 12
_cell_length_a 16.6929
_cell_length_b 7.6702
_cell_length_c 6.1008
_cell_angle_alpha 90.00
_cell_angle_beta 111.39
_cell_angle_gamma 90.00
loop_
_space_group_symop_operation_xyz
'x,y,z'
'-x,-y,-z'
'-x,y,-z'
'x,-y,z'
'x+1/2,y+1/2,z'
'-x+1/2,-y+1/2,-z'
'-x+1/2,y+1/2,-z'
'x+1/2,-y+1/2,z'
loop_
_atom_site_label
_atom_site_type_symbol
_atom_site_fract_x
_atom_site_fract_y
_atom_site_fract_z
La1 La 0.1212 0.2488 0.1206
La2 La 0.1803 0.5000 0.6791
Sm1 Sm 0.0000 0.1980 0.5000
In1 In 0.1929 0.0000 0.6930
Ir1 Ir 0.0000 0.5000 0.2393
```

The following is a GGA-PBE calculation of a relaxed La2InSn3Ir4 crystal, from Alexandria.

Computed properties:
Total magnetization   0.00 μB per formula unit
DFT formation energy   -5.6 eV/f.u.
Total DFT energy (no corrections)   -65.66 eV/cell

```
data_La2InSn3Ir4
_chemical_formula_sum 'La2 In1 Sn3 Ir4'
_space_group_name_H-M_alt 'P -4 m 2'
_space_group_IT_number 115
_cell_length_a 4.4666
_cell_length_b 4.4666
_cell_length_c 11.1616
_cell_angle_alpha 90.00
_cell_angle_beta 90.00
_cell_angle_gamma 90.00
loop_
_space_group_symop_operation_xyz
'x,y,z'
'y,-x,-z'
'-x,-y,z'
'-y,x,-z'
'-x,y,z'
'-y,-x,-z'
'x,-y,z'
'y,x,-z'
loop_
_atom_site_label
_atom_site_type_symbol
_atom_site_fract_x
_atom_site_fract_y
_atom_site_fract_z
La1 La 0.0000 0.5000 0.2490
In1 In 0.0000 0.0000 0.5000
Sn1 Sn 0.0000 0.5000 0.8711
Sn2 Sn 0.5000 0.5000 0.5000
Ir1 Ir 0.0000 0.0000 0.0000
Ir2 Ir 0.0000 0.5000 0.6380
Ir3 Ir 0.5000 0.5000 0.0000
```